[1]
First-principles (GGA-PBE) data for a relaxed Ac3La3Sm crystal, as listed in Alexandria.

Values from the calculation:
DFT formation energy   0.15 eV per atom
Energy   -61.5 eV per cell
Calculated density   7.2 g cm⁻³
Total moment   0.0 μB per formula unit

a = 8.6582 Å, b = 8.6582 Å, c = 7.6678 Å
α = 90.02°, β = 90.02°, γ = 88.13°
Last column: nearest neighbours and their distance in Å.
Sites, in units of the cell vectors:
Ac  0.1822  0.8178  0.0000  4 La 3.69-3.70, 2 Sm 3.75, 2 Ac 3.87
Ac  0.2190  0.2190  0.4996  6 La 3.63-4.03, 2 Sm 3.84-3.85, 2 Ac 3.85
Ac  0.2258  0.7742  0.5000  6 La 3.71-3.86, 4 Ac 3.85-3.87
Ac  0.7742  0.2258  0.5000  6 La 3.71-3.86, 4 Ac 3.85-3.87
Ac  0.7810  0.7810  0.5004  6 La 3.63-4.03, 2 Sm 3.84-3.85, 2 Ac 3.85
Ac  0.8178  0.1822  0.0000  4 La 3.69-3.70, 2 Sm 3.75, 2 Ac 3.87
La  0.0016  0.4998  0.7615  2 Sm 3.52-3.53, 6 Ac 3.63-3.72, 1 La 3.66
La  0.4998  0.0016  0.7615  2 Sm 3.52-3.53, 6 Ac 3.63-3.72, 1 La 3.66
La  0.5002  0.5002  0.2394  2 La 3.67-4.00, 2 Sm 3.67, 4 Ac 3.86-4.03
La  0.4998  0.4998  0.7606  2 La 3.67-4.00, 2 Sm 3.67, 4 Ac 3.86-4.03
La  0.5002  0.9984  0.2385  2 Sm 3.52-3.53, 6 Ac 3.63-3.72, 1 La 3.66
La  0.9984  0.5002  0.2385  2 Sm 3.52-3.53, 6 Ac 3.63-3.72, 1 La 3.66
Sm  0.2444  0.2444  0.0006  6 La 3.52-3.67, 4 Ac 3.75-3.85
Sm  0.7556  0.7556  0.9994  6 La 3.52-3.67, 4 Ac 3.75-3.85

[2]
First-principles (GGA-PBE) data for a relaxed Nb2CdRu crystal, as listed in Alexandria.

Values from the calculation:
E above lowest polymorph   0.1119 eV per atom
DFT formation energy   0.41 eV per atom
Energy   -57.4 eV per cell
Calculated density   8.5 g cm⁻³
Total moment   0.0 μB per formula unit

a = 5.9908 Å, b = 5.9908 Å, c = 5.9908 Å
α = 102.20°, β = 102.20°, γ = 125.26°
Last column: nearest neighbours and their distance in Å.
Sites, in units of the cell vectors:
Nb  0.0748  0.6250  0.9498  2 Ru 2.50
Nb  0.3750  0.3248  0.4498  2 Ru 2.50
Nb  0.6752  0.1250  0.0502  2 Ru 2.50
Nb  0.8750  0.9252  0.5502  2 Ru 2.50
Cd  0.2500  0.7500  0.5000  2 Ru 2.75, 4 Nb 3.02
Cd  0.5000  0.5000  0.0000  2 Ru 2.75, 4 Nb 3.02
Ru  0.0000  0.0000  0.0000  4 Nb 2.50, 2 Cd 2.75
Ru  0.7500  0.2500  0.5000  4 Nb 2.50, 2 Cd 2.75

[3]
First-principles (GGA-PBE) data for a relaxed Ca3ReBr crystal, as listed in Alexandria.

Values from the calculation:
E above lowest polymorph   0.3611 eV per atom
Energy   -16.8 eV per cell
Calculated density   4.3 g cm⁻³
Total moment   0.0 μB per formula unit

a = 5.3241 Å, b = 5.3241 Å, c = 5.3241 Å
α = 90.00°, β = 90.00°, γ = 90.00°
Last column: nearest neighbours and their distance in Å.
Sites, in units of the cell vectors:
Ca  0.0000  0.0000  0.5000  2 Br 2.66
Ca  0.0000  0.5000  0.0000  2 Br 2.66
Ca  0.5000  0.0000  0.0000  2 Br 2.66
Re  0.5000  0.5000  0.5000  12 Ca 3.76
Br  0.0000  0.0000  0.0000  6 Ca 2.66

[4]
First-principles (GGA-PBE) data for a relaxed UNb2Ni crystal, as listed in Alexandria.

Values from the calculation:
E above lowest polymorph   0.0000 eV per atom
DFT formation energy   0.17 eV per atom
Energy   -36.5 eV per cell
Calculated density   11.6 g cm⁻³
Total moment   0.0 μB per formula unit

a = 4.6209 Å, b = 4.6209 Å, c = 3.2369 Å
α = 90.00°, β = 90.00°, γ = 90.00°
Last column: nearest neighbours and their distance in Å.
Sites, in units of the cell vectors:
U  0.0000  0.0000  0.0000  8 Nb 2.82
Nb  0.0000  0.5000  0.5000  4 Ni 2.82, 4 U 2.82
Nb  0.5000  0.0000  0.5000  4 Ni 2.82, 4 U 2.82
Ni  0.5000  0.5000  0.0000  8 Nb 2.82

[5]
First-principles (GGA-PBE) data for a relaxed ThAgS2O8 crystal, as listed in Alexandria.

Values from the calculation:
Energy   -78.4 eV per cell
Calculated density   4.9 g cm⁻³
Total moment   1.0 μB per formula unit

a = 6.3307 Å, b = 6.3307 Å, c = 6.3307 Å
α = 59.92°, β = 59.92°, γ = 59.92°
Last column: nearest neighbours and their distance in Å.
Sites, in units of the cell vectors:
Th  0.0000  0.0000  0.0000  8 O 2.41
Ag  0.5000  0.5000  0.5000  24 O 3.48-3.84, 8 S 3.87-3.88
S  0.2505  0.2505  0.2505  4 O 1.48
S  0.7495  0.7495  0.7495  4 O 1.48
O  0.1233  0.1891  0.5343  1 S 1.48
O  0.1551  0.1551  0.1551  1 S 1.48
O  0.1891  0.5343  0.1233  1 S 1.48
O  0.4657  0.8767  0.8109  1 S 1.48
O  0.5343  0.1233  0.1891  1 S 1.48
O  0.8109  0.4657  0.8767  1 S 1.48
O  0.8449  0.8449  0.8449  1 S 1.48
O  0.8767  0.8109  0.4657  1 S 1.48

[6]
First-principles (GGA-PBE) data for a relaxed Li2MoSBr crystal, as listed in Alexandria.

Values from the calculation:
Energy   -20.0 eV per cell
Calculated density   2.2 g cm⁻³
Total moment   5.0 μB per formula unit

a = 4.3012 Å, b = 4.3012 Å, c = 9.0560 Å
α = 90.00°, β = 90.00°, γ = 90.00°
Last column: nearest neighbours and their distance in Å.
Sites, in units of the cell vectors:
Li  0.0000  0.5000  0.0000  2 S 2.15
Li  0.5000  0.0000  0.0000  2 S 2.15
Mo  0.0000  0.0000  0.5000  4 Br 3.04
S  0.5000  0.5000  0.0000  4 Li 2.15
Br  0.5000  0.5000  0.5000  4 Mo 3.04

[7]
First-principles (GGA-PBE) data for a relaxed P2RuAuCl crystal, as listed in Alexandria.

Values from the calculation:
E above lowest polymorph   0.0000 eV per atom
Energy   -22.6 eV per cell
Calculated density   6.5 g cm⁻³
Total moment   0.0 μB per formula unit

a = 4.5269 Å, b = 4.5269 Å, c = 4.9666 Å
α = 90.00°, β = 90.00°, γ = 90.00°
Last column: nearest neighbours and their distance in Å.
Sites, in units of the cell vectors:
P  0.0000  0.5000  0.0000  2 Ru 2.26
P  0.5000  0.0000  0.0000  2 Ru 2.26
Ru  0.0000  0.0000  0.0000  4 P 2.26, 2 Cl 2.48
Au  0.5000  0.5000  0.5000  4 Cl 3.20, 8 P 3.36
Cl  0.0000  0.0000  0.5000  2 Ru 2.48

[8]
First-principles (GGA-PBE) data for a relaxed La2YInC crystal, as listed in Alexandria.

Values from the calculation:
DFT formation energy   -0.37 eV per atom
Energy   -30.1 eV per cell
Calculated density   6.0 g cm⁻³
Total moment   0.0 μB per formula unit

a = 5.2350 Å, b = 5.2350 Å, c = 4.9844 Å
α = 90.00°, β = 90.00°, γ = 90.00°
Last column: nearest neighbours and their distance in Å.
Sites, in units of the cell vectors:
La  0.0000  0.5000  0.0000  2 C 2.62
La  0.5000  0.0000  0.0000  2 C 2.62
Y  0.0000  0.0000  0.5000  2 C 2.49
In  0.5000  0.5000  0.5000  8 La 3.61, 4 Y 3.70
C  0.0000  0.0000  0.0000  2 Y 2.49, 4 La 2.62

Which value of energy does entry 5 give?
-78.4 eV per cell